Model w:
! NaBP2S (PBE, optimized geometry); values from VASP
&SYSTEM
  ibrav = 0, nat = 5, ntyp = 4
/
ATOMIC_SPECIES
Na 22.99 Na.upf
B 10.81 B.upf
P 30.97 P.upf
S 32.06 S.upf
ATOMIC_POSITIONS crystal
Na 0.000 0.000 0.000
B 0.500 0.500 0.500
P 0.000 0.500 0.000
P 0.500 0.000 0.000
S 0.000 0.000 0.500
CELL_PARAMETERS angstrom
4.877 0.000 0.000
0.000 4.877 0.000
0.000 0.000 4.841
! Total magnetization in μB/f.u.: 0.00
! Crystal system: tetragonal

Model x:
! NaBP2S (PBE, optimized geometry); values from VASP
&SYSTEM
  ibrav = 0, nat = 5, ntyp = 4
/
ATOMIC_SPECIES
Na 22.99 Na.upf
B 10.81 B.upf
P 30.97 P.upf
S 32.06 S.upf
ATOMIC_POSITIONS crystal
Na 0.000 0.000 0.000
B 0.500 0.500 0.500
P 0.000 0.500 0.500
P 0.500 0.000 0.500
S 0.500 0.500 0.000
CELL_PARAMETERS angstrom
4.024 0.000 0.000
0.000 4.024 0.000
0.000 0.000 5.104
! Total magnetization in μB/f.u.: 0.00
! Crystal system: tetragonal

Quick one: most stable of them? model x

Model w:
! NaB2Pd (PBE, optimized geometry); values from VASP
&SYSTEM
  ibrav = 0, nat = 8, ntyp = 3
/
ATOMIC_SPECIES
Na 22.99 Na.upf
B 10.81 B.upf
Pd 106.42 Pd.upf
ATOMIC_POSITIONS crystal
Na 0.375 0.625 0.750
Na 0.625 0.375 0.250
B 0.000 0.000 0.000
B 0.000 0.000 0.500
B 0.000 0.500 0.000
B 0.500 0.000 0.500
Pd 0.125 0.875 0.250
Pd 0.875 0.125 0.750
CELL_PARAMETERS angstrom
-1.837 1.837 7.947
1.837 -1.837 7.947
1.837 1.837 -7.947
! Total magnetization in μB/f.u.: 0.00
! Crystal system: tetragonal

Model x:
! NaB2Pd (PBE, optimized geometry); values from VASP
&SYSTEM
  ibrav = 0, nat = 4, ntyp = 3
/
ATOMIC_SPECIES
Na 22.99 Na.upf
B 10.81 B.upf
Pd 106.42 Pd.upf
ATOMIC_POSITIONS crystal
Na 0.000 0.000 0.000
B 0.250 0.250 0.250
B 0.750 0.750 0.750
Pd 0.500 0.500 0.500
CELL_PARAMETERS angstrom
0.000 2.810 2.810
2.810 0.000 2.810
2.810 2.810 0.000
! Total magnetization in μB/f.u.: 0.00
! Crystal system: cubic

Quick one: most stable of them? model w

Model w:
! NaB3Pd (PBE, optimized geometry); values from VASP
&SYSTEM
  ibrav = 0, nat = 5, ntyp = 3
/
ATOMIC_SPECIES
Na 22.99 Na.upf
B 10.81 B.upf
Pd 106.42 Pd.upf
ATOMIC_POSITIONS crystal
Na 0.000 0.000 0.000
B 0.000 0.000 0.500
B 0.000 0.500 0.000
B 0.500 0.000 0.000
Pd 0.500 0.500 0.500
CELL_PARAMETERS angstrom
4.257 0.000 0.000
0.000 4.257 0.000
0.000 0.000 4.257
! Total magnetization in μB/f.u.: 0.00
! Crystal system: cubic

Model x:
! NaB3Pd (PBE, optimized geometry); values from VASP
&SYSTEM
  ibrav = 0, nat = 5, ntyp = 3
/
ATOMIC_SPECIES
Na 22.99 Na.upf
B 10.81 B.upf
Pd 106.42 Pd.upf
ATOMIC_POSITIONS crystal
Na 0.000 0.000 0.000
B 0.000 0.500 0.500
B 0.500 0.000 0.500
B 0.500 0.500 0.000
Pd 0.500 0.500 0.500
CELL_PARAMETERS angstrom
4.148 0.000 0.000
0.000 4.148 0.000
0.000 0.000 4.148
! Total magnetization in μB/f.u.: 0.00
! Crystal system: cubic

Quick one: most stable of them? model x